A plane-wave DFT calculation with PBE was carried out for crystalline Ca2TeOs at its relaxed geometry.

abc: 4.0391 4.5727 6.1193
angles: 68.08 90.00 90.00
Last column: nearest neighbours and their distance in Å.
Positions (direct):
Ca 0.0000 0.9747 0.9256  1 Os 3.07, 4 Te 3.19
Ca 0.5000 0.2630 0.3489  4 Os 3.12, 3 Te 3.26-3.35
Te 0.5000 0.5579 0.7591  2 Os 2.62
Os 0.0000 0.7043 0.4664  2 Te 2.62

Properties
SG: No. 38
N(E_F), states/eV/f.u.: 3.289
Calculated total energy, eV per cell: -19.15

A plane-wave DFT calculation with PBE was carried out for crystalline Ca2TeOs at its relaxed geometry.

abc: 8.2854 8.2854 6.5642
angles: 50.87 50.87 90.00
Last column: nearest neighbours and their distance in Å.
Positions (direct):
Ca 0.6764 0.1250 0.2500  2 Os 2.75
Ca 0.0736 0.6250 0.2500  2 Os 2.75
Ca 0.3750 0.3236 0.7500  2 Os 2.75
Ca 0.8750 0.9264 0.7500  2 Os 2.75
Te 0.5000 0.5000 0.0000  2 Os 2.96
Te 0.2500 0.7500 0.5000  2 Os 2.96
Os 0.0000 0.0000 0.0000  4 Ca 2.75, 2 Te 2.96
Os 0.7500 0.2500 0.5000  4 Ca 2.75, 2 Te 2.96

Properties
SG: No. 122
N(E_F), states/eV/f.u.: 2.711
Calculated total energy, eV per cell: -35.34

A plane-wave DFT calculation with PBE was carried out for crystalline CaTeOs2 at its relaxed geometry.

abc: 9.2411 9.2411 9.2411
angles: 19.46 19.46 19.46
Last column: nearest neighbours and their distance in Å.
Positions (direct):
Ca 0.2500 0.2500 0.2500  6 Os 3.04, 6 Ca 3.12
Te 0.7500 0.7500 0.7500  6 Os 2.75
Os 0.0068 0.0068 0.0068  3 Te 2.75, 3 Ca 3.04
Os 0.4932 0.4932 0.4932  3 Te 2.75, 3 Ca 3.04

Properties
SG: No. 166
N(E_F), states/eV/f.u.: 6.637
Calculated total energy, eV per cell: -23.99

A plane-wave DFT calculation with PBE was carried out for crystalline CaTeOs2 at its relaxed geometry.

abc: 3.0533 4.8434 5.1082
angles: 90.00 90.00 90.00
Last column: nearest neighbours and their distance in Å.
Positions (direct):
Ca 0.0000 0.5000 0.5000  4 Te 2.86, 4 Os 2.98, 2 Ca 3.05
Te 0.5000 0.0000 0.5000  4 Ca 2.86, 4 Os 2.98, 2 Te 3.05
Os 0.0000 0.0000 0.0000  6 Os 2.86-3.05, 4 Te 2.98
Os 0.5000 0.5000 0.0000  6 Os 2.86-3.05, 4 Ca 2.98

Properties
SG: No. 47
N(E_F), states/eV/f.u.: 4.199
Calculated total energy, eV per cell: -24.80

A plane-wave DFT calculation with PBE was carried out for crystalline Ca2TeOs at its relaxed geometry.

abc: 4.2853 4.2853 6.2931
angles: 90.00 90.00 90.00
Last column: nearest neighbours and their distance in Å.
Positions (direct):
Ca 0.0000 0.0000 0.9317  2 Os 3.04-3.25, 4 Te 3.11
Ca 0.5000 0.5000 0.3308  4 Os 3.08, 2 Te 3.09-3.20
Te 0.5000 0.5000 0.8225  6 Ca 3.09-3.20
Os 0.0000 0.0000 0.4150  6 Ca 3.04-3.25

Properties
SG: No. 99
N(E_F), states/eV/f.u.: 2.638
Calculated total energy, eV per cell: -17.73

A plane-wave DFT calculation with PBE was carried out for crystalline CaTeOs at its relaxed geometry.

abc: 6.5542 6.5542 3.3118
angles: 75.37 75.37 29.27
Last column: nearest neighbours and their distance in Å.
Positions (direct):
Ca 0.9838 0.9838 0.0162  4 Os 3.12, 4 Ca 3.31, 1 Te 3.46
Te 0.7008 0.7008 0.2992  4 Os 2.73
Os 0.3155 0.3155 0.6845  4 Te 2.73

Properties
Energy above the lowest structure with this stoichiometry, meV per atom: 137.0
SG: No. 107
N(E_F), states/eV/f.u.: 1.431
Calculated total energy, eV per cell: -16.05

A plane-wave DFT calculation with PBE was carried out for crystalline CaTe4Os at its relaxed geometry.

abc: 6.2894 6.2894 6.2894
angles: 60.00 60.00 60.00
Last column: nearest neighbours and their distance in Å.
Positions (direct):
Ca 0.7500 0.7500 0.7500  12 Te 3.69, 4 Os 3.85
Te 0.3740 0.8779 0.3740  6 Te 3.12-3.17
Te 0.8779 0.3740 0.3740  6 Te 3.12-3.17
Te 0.3740 0.3740 0.8779  6 Te 3.12-3.17
Te 0.3740 0.3740 0.3740  6 Te 3.12-3.17
Os 0.0000 0.0000 0.0000  12 Te 3.68, 4 Ca 3.85

Properties
SG: No. 216
N(E_F), states/eV/f.u.: 6.659
Calculated total energy, eV per cell: -20.69

A plane-wave DFT calculation with PBE was carried out for crystalline CaTeOs at its relaxed geometry.

abc: 4.7535 4.7535 4.7535
angles: 60.00 60.00 60.00
Last column: nearest neighbours and their distance in Å.
Positions (direct):
Ca 0.2500 0.2500 0.2500  4 Te 2.91, 4 Os 2.91
Te 0.5000 0.5000 0.5000  4 Ca 2.91
Os 0.0000 0.0000 0.0000  4 Ca 2.91

Properties
Energy above the lowest structure with this stoichiometry, meV per atom: 987.8
SG: No. 216
N(E_F), states/eV/f.u.: 4.106
Calculated total energy, eV per cell: -13.50

A plane-wave DFT calculation with PBE was carried out for crystalline CaTeOs2 at its relaxed geometry.

abc: 5.8281 5.8281 5.8281
angles: 148.93 130.35 59.74
Last column: nearest neighbours and their distance in Å.
Positions (direct):
Ca 0.2519 0.7519 0.5000  6 Os 2.90-3.25, 2 Ca 3.12, 2 Te 3.22
Te 0.5306 0.5306 0.0000  6 Os 2.75-2.98
Os 0.9633 0.9633 0.0000  2 Os 2.63
Os 0.7542 0.2542 0.5000  2 Os 2.63, 2 Te 2.75, 4 Ca 2.90

Properties
SG: No. 44
N(E_F), states/eV/f.u.: 2.924
Calculated total energy, eV per cell: -25.57

A plane-wave DFT calculation with PBE was carried out for crystalline CaTeOs2 at its relaxed geometry.

abc: 3.2771 3.2771 6.9875
angles: 90.00 90.00 90.00
Last column: nearest neighbours and their distance in Å.
Positions (direct):
Ca 0.5000 0.5000 0.7500  8 Os 3.05, 4 Ca 3.28
Te 0.5000 0.5000 0.2500  8 Os 2.77
Os 0.0000 0.0000 0.0336  4 Te 2.77, 1 Os 3.02, 4 Ca 3.05
Os 0.0000 0.0000 0.4664  4 Te 2.77, 1 Os 3.02, 4 Ca 3.05

Properties
SG: No. 123
N(E_F), states/eV/f.u.: 0.854
Calculated total energy, eV per cell: -24.94

A plane-wave DFT calculation with PBE was carried out for crystalline Ca2TeOs at its relaxed geometry.

abc: 4.9697 4.9697 4.9697
angles: 60.00 60.00 60.00
Last column: nearest neighbours and their distance in Å.
Positions (direct):
Ca 0.0000 0.0000 0.0000  4 Te 3.04, 4 Ca 3.04
Ca 0.2500 0.2500 0.2500  4 Ca 3.04, 4 Os 3.04
Te 0.7500 0.7500 0.7500  4 Os 3.04, 4 Ca 3.04
Os 0.5000 0.5000 0.5000  4 Ca 3.04, 4 Te 3.04

Properties
SG: No. 216
N(E_F), states/eV/f.u.: 2.002
Calculated total energy, eV per cell: -17.92

A plane-wave DFT calculation with PBE was carried out for crystalline CaTeOs at its relaxed geometry.

abc: 4.4279 4.4279 4.3244
angles: 90.00 90.00 120.00
Last column: nearest neighbours and their distance in Å.
Positions (direct):
Ca 0.0000 0.0000 0.0000  6 Os 3.35, 6 Te 3.35
Te 0.3333 0.6667 0.5000  3 Os 2.56
Os 0.6667 0.3333 0.5001  3 Te 2.56

Properties
Energy above the lowest structure with this stoichiometry, meV per atom: 0.0
SG: No. 187
N(E_F), states/eV/f.u.: 2.651
Calculated total energy, eV per cell: -16.46